Entry 1:
The following is a DFT calculation (GGA-PBE) of a geometry-optimized LaHo2Ga structure.

Cell lengths 4.741, 4.810, 4.810 Å; angles 90.00, 90.00, 90.00 degrees
Fractional positions:
La  0.500  0.500  0.500
Ho  0.000  0.500  0.000
Ga  0.500  0.000  0.000
Ho  0.000  0.000  0.500

Output
The value obtained for the excess energy over the best structure of this formula in the dataset is 63 meV per atom. The space-group type is P4/mmm, No. 123.

---

Entry 2:
The following is a DFT calculation (GGA-PBE) of a geometry-optimized LaHoGa structure.

Cell lengths 3.969, 4.988, 4.988 Å; angles 120.00, 90.00, 90.00 degrees
Fractional positions:
La  0.649  0.667  0.333
Ho  0.108  0.000  0.000
Ga  0.243  0.333  0.667

Output
The value obtained for the excess energy over the best structure of this formula in the dataset is 114 meV per atom. The space-group type is P3m1, No. 156.

---

Entry 3:
The following is a DFT calculation (GGA-PBE) of a geometry-optimized La5HoGa4 structure.

Cell lengths 4.271, 8.463, 8.770 Å; angles 78.62, 104.09, 90.00 degrees
Fractional positions:
Ho  0.500  0.000  0.000
La  0.500  0.500  0.000
Ga  0.362  0.830  0.724
La  0.173  0.882  0.347
Ga  0.638  0.170  0.276
Ga  0.969  0.776  0.937
La  0.827  0.573  0.654
La  0.827  0.118  0.653
La  0.173  0.427  0.346
Ga  0.031  0.224  0.063

Output
The space-group type is C2/m, No. 12.

---

Entry 4:
The following is a DFT calculation (GGA-PBE) of a geometry-optimized Li2La2HoGa2 structure.

Cell lengths 4.647, 4.647, 9.139 Å; angles 75.27, 75.27, 60.00 degrees
Fractional positions:
Ho  0.000  0.000  0.000
Ga  0.268  0.268  0.195
La  0.133  0.133  0.600
Ga  0.732  0.732  0.805
La  0.867  0.867  0.400
Li  0.608  0.608  0.177
Li  0.392  0.392  0.823

Output
The space-group type is R-3m, No. 166.

---

Number 1: ΔE_f -219 meV/atom, total DFT energy (no corrections) -4.50 eV per atom. Number 2: ΔE_f -277 meV/atom, total DFT energy (no corrections) -4.45 eV per atom. Number 3: ΔE_f -362 meV/atom, total DFT energy (no corrections) -4.49 eV per atom. Number 4: ΔE_f -313 meV/atom, total DFT energy (no corrections) -3.79 eV per atom.